[1]
Material: BaTl2NiPb
Method: DFT, PBE-GGA
State: relaxed

## Properties
* calculated density: 9.2 g/cm3
* SG: P4/mmm (123)
* total magnetic moment: 0.00 μB per cell
* E_tot: -3.35 eV/atom

Geometry as POSCAR:
```
BaTl2NiPb
1.0
5.2309 0.0000 0.0000
0.0000 5.2309 0.0000
0.0000 0.0000 5.3794
Ba Tl Ni Pb
1 2 1 1
Direct
0.0000 0.0000 0.0000 Ba
0.0000 0.5000 0.5000 Tl
0.5000 0.0000 0.5000 Tl
0.5000 0.5000 0.5000 Ni
0.5000 0.5000 0.0000 Pb
```

[2]
Material: Ac4PtSeBr2
Method: DFT, PBE-GGA
State: relaxed

## Properties
* calculated density: 8.2 g/cm3
* SG: P2/m (10)
* total magnetic moment: 0.00 μB per cell
* uncorrected formation energy: -1.394 eV/atom
* E_tot: -5.06 eV/atom

Geometry as POSCAR:
```
Ac4PtSeBr2
1.0
8.0624 0.0000 0.0000
0.0000 4.3786 0.0000
-2.5395 0.0000 7.7235
Ac Pt Se Br
4 1 1 2
Direct
0.2189 0.0000 0.2097 Ac
0.2524 0.5000 0.7806 Ac
0.7476 0.5000 0.2194 Ac
0.7811 0.0000 0.7903 Ac
0.0000 0.5000 0.0000 Pt
0.5000 0.0000 0.0000 Se
0.0000 0.0000 0.5000 Br
0.5000 0.5000 0.5000 Br
```